# 1
Below is a geometry-optimized TaMn2Cu structure, with properties calculated at the PBE level.

a = 2.820 Å, b = 2.820 Å, c = 7.250 Å
α = 90.00°, β = 90.00°, γ = 90.00°
Positions (direct):
Ta (0.000, 0.000, 0.000)
Mn (0.500, 0.500, 0.271)
Mn (0.500, 0.500, 0.729)
Cu (0.000, 0.000, 0.500)

Output
symmetry: P4/mmm (123)
calculated density: 10.20 g cm⁻³
ΔH_f (0 K): 0.177 eV per atom
raw total energy: -8.3950 eV/atom

# 2
Below is a geometry-optimized Y2TlCr structure, with properties calculated at the PBE level.

a = 10.279 Å, b = 10.279 Å, c = 10.279 Å
α = 19.78°, β = 19.78°, γ = 19.78°
Positions (direct):
Y (0.000, 0.000, 0.000)
Y (0.237, 0.237, 0.237)
Tl (0.484, 0.484, 0.484)
Cr (0.747, 0.747, 0.747)

Output
energy above the lowest structure with this stoichiometry: 330 meV per atom
symmetry: R3m (160)
calculated density: 6.63 g cm⁻³
ΔH_f (0 K): 0.330 eV per atom
raw total energy: -5.8997 eV/atom

# 3
Below is a geometry-optimized InHgPdPb2 structure, with properties calculated at the PBE level.

a = 4.088 Å, b = 4.088 Å, c = 15.709 Å
α = 90.00°, β = 90.00°, γ = 90.00°
Positions (direct):
In (0.250, 0.750, 0.000)
In (0.750, 0.250, 0.000)
Hg (0.250, 0.250, 0.163)
Hg (0.750, 0.750, 0.837)
Pd (0.250, 0.250, 0.566)
Pd (0.750, 0.750, 0.434)
Pb (0.250, 0.250, 0.391)
Pb (0.250, 0.250, 0.749)
Pb (0.750, 0.750, 0.251)
Pb (0.750, 0.750, 0.609)

Output
symmetry: P4/nmm (129)
calculated density: 10.58 g cm⁻³
ΔH_f (0 K): 0.006 eV per atom
raw total energy: -3.1240 eV/atom